Density functional theory data (PBE+U) for NiSe2O after structural relaxation.

Summary:
Spin magnetization (μB/f.u.): 0.00
Uncorrected energy (eV/atom): -3.1772
D(E_F) (states/eV/atom): 0.642

Cell: 4.993 4.993 6.626 Å, 67.87 67.87 90.00°
Atoms (fractional coordinates):
O 0.500 0.500 0.000
O 0.250 0.750 0.500
Se 0.375 0.375 0.750
Se 0.625 0.125 0.250
Se 0.875 0.875 0.750
Se 0.125 0.625 0.250
Ni 0.750 0.250 0.500
Ni 0.000 0.000 0.000